[1]
VASP calculation (PBE-GGA) on a geometry-optimized Tb3SbP2Rh9 structure.

```
data_Tb3SbP2Rh9
_chemical_formula_sum 'Tb3 Sb1 P2 Rh9'
_cell_length_a 6.068
_cell_length_b 6.068
_cell_length_c 9.211
_cell_angle_alpha 90.00
_cell_angle_beta 90.00
_cell_angle_gamma 120.00
_space_group_name_H-M_alt 'P 1'
_space_group_IT_number 1
loop_
_space_group_symop_operation_xyz
'x,y,z'
loop_
_atom_site_label
_atom_site_type_symbol
_atom_site_fract_x
_atom_site_fract_y
_atom_site_fract_z
Tb1 Tb 0.000 0.000 0.000
Tb2 Tb 0.333 0.667 0.724
Tb3 Tb 0.667 0.333 0.276
Sb1 Sb 0.000 0.000 0.500
P1 P 0.333 0.667 0.160
P2 P 0.667 0.333 0.840
Rh1 Rh 0.000 0.500 0.000
Rh2 Rh 0.151 0.302 0.272
Rh3 Rh 0.151 0.849 0.272
Rh4 Rh 0.302 0.151 0.728
Rh5 Rh 0.500 0.000 0.000
Rh6 Rh 0.500 0.500 0.000
Rh7 Rh 0.698 0.849 0.272
Rh8 Rh 0.849 0.151 0.728
Rh9 Rh 0.849 0.698 0.728
```

Computed properties:
SG   P-3m1 (164)
Formation energy without anion corrections   -65 kJ per mole of atoms


[2]
VASP calculation (PBE-GGA) on a geometry-optimized Tb3NdSm6Ho2 structure.

```
data_Tb3NdSm6Ho2
_chemical_formula_sum 'Tb3 Nd1 Sm6 Ho2'
_cell_length_a 6.234
_cell_length_b 6.234
_cell_length_c 11.910
_cell_angle_alpha 94.99
_cell_angle_beta 94.99
_cell_angle_gamma 119.97
_space_group_name_H-M_alt 'P 1'
_space_group_IT_number 1
loop_
_space_group_symop_operation_xyz
'x,y,z'
loop_
_atom_site_label
_atom_site_type_symbol
_atom_site_fract_x
_atom_site_fract_y
_atom_site_fract_z
Tb1 Tb 0.000 0.000 0.000
Tb2 Tb 0.333 0.667 0.000
Tb3 Tb 0.667 0.333 0.000
Nd1 Nd 0.500 0.500 0.500
Sm1 Sm 0.082 0.416 0.249
Sm2 Sm 0.250 0.250 0.751
Sm3 Sm 0.416 0.082 0.249
Sm4 Sm 0.584 0.918 0.751
Sm5 Sm 0.750 0.750 0.249
Sm6 Sm 0.918 0.584 0.751
Ho1 Ho 0.167 0.833 0.500
Ho2 Ho 0.833 0.167 0.500
```

Computed properties:
SG   C2/m (12)
Energy of formation from the pure elements   0.01 eV per atom


[3]
VASP calculation (PBE-GGA) on a geometry-optimized PmTlSnHg structure.

```
data_PmTlSnHg
_chemical_formula_sum 'Pm4 Tl4 Sn4 Hg4'
_cell_length_a 7.677
_cell_length_b 7.677
_cell_length_c 7.677
_cell_angle_alpha 90.00
_cell_angle_beta 90.00
_cell_angle_gamma 90.00
_space_group_name_H-M_alt 'P 1'
_space_group_IT_number 1
loop_
_space_group_symop_operation_xyz
'x,y,z'
loop_
_atom_site_label
_atom_site_type_symbol
_atom_site_fract_x
_atom_site_fract_y
_atom_site_fract_z
Pm1 Pm 0.000 0.000 0.000
Pm2 Pm 0.000 0.500 0.500
Pm3 Pm 0.500 0.000 0.500
Pm4 Pm 0.500 0.500 0.000
Tl1 Tl 0.000 0.000 0.500
Tl2 Tl 0.000 0.500 0.000
Tl3 Tl 0.500 0.000 0.000
Tl4 Tl 0.500 0.500 0.500
Sn1 Sn 0.250 0.250 0.250
Sn2 Sn 0.250 0.750 0.750
Sn3 Sn 0.750 0.250 0.750
Sn4 Sn 0.750 0.750 0.250
Hg1 Hg 0.250 0.250 0.750
Hg2 Hg 0.250 0.750 0.250
Hg3 Hg 0.750 0.250 0.250
Hg4 Hg 0.750 0.750 0.750
```

Computed properties:
SG   F-43m (216)
Energy of formation from the pure elements   -0.24 eV per atom


[4]
VASP calculation (PBE-GGA) on a geometry-optimized Y2CuS structure.

```
data_Y2CuS
_chemical_formula_sum 'Y8 Cu4 S4'
_cell_length_a 3.916
_cell_length_b 22.588
_cell_length_c 3.940
_cell_angle_alpha 90.00
_cell_angle_beta 90.00
_cell_angle_gamma 90.00
_space_group_name_H-M_alt 'P 1'
_space_group_IT_number 1
loop_
_space_group_symop_operation_xyz
'x,y,z'
loop_
_atom_site_label
_atom_site_type_symbol
_atom_site_fract_x
_atom_site_fract_y
_atom_site_fract_z
Y1 Y 0.000 0.070 0.250
Y2 Y 0.000 0.314 0.250
Y3 Y 0.000 0.686 0.750
Y4 Y 0.000 0.930 0.750
Y5 Y 0.500 0.186 0.750
Y6 Y 0.500 0.430 0.750
Y7 Y 0.500 0.570 0.250
Y8 Y 0.500 0.814 0.250
Cu1 Cu 0.000 0.463 0.250
Cu2 Cu 0.000 0.537 0.750
Cu3 Cu 0.500 0.037 0.750
Cu4 Cu 0.500 0.963 0.250
S1 S 0.000 0.192 0.250
S2 S 0.000 0.808 0.750
S3 S 0.500 0.308 0.750
S4 S 0.500 0.692 0.250
```

Computed properties:
SG   Cmcm (63)
Formation energy without anion corrections   -111 kJ per mole of atoms